# Ba2InAg

A relaxed structure of Ba2InAg (PBE-GGA, OQMD via LeMat-Bulk).

For the calculated density, the calculation gives 6.5 g cm⁻³. The crystal system is cubic. The total energy comes out at -10.2 eV/cell.

Unit cell a=5.6390 b=5.6390 c=5.6390 alpha=60.00 beta=60.00 gamma=60.00
Fractional coordinates of all 4 atoms:
Ba: 0.0000 0.0000 0.0000
Ba: 0.2500 0.2500 0.2500
In: 0.5000 0.5000 0.5000
Ag: 0.7500 0.7500 0.7500



# Zn4Ni3

A relaxed structure of Zn4Ni3 (PBE-GGA, OQMD via LeMat-Bulk).

For the calculated density, the calculation gives 8.4 g cm⁻³. The crystal system is hexagonal. The energy above the lowest structure with this stoichiometry comes out at 0.0 meV/atom. The value obtained for the calculated formation energy is -186 meV/atom. The calculation puts the total magnetization at 0.00 μB/atom.

Unit cell a=6.8818 b=6.8818 c=4.2000 alpha=90.00 beta=90.00 gamma=120.00
Fractional coordinates of all 14 atoms:
Zn: 0.0433 0.2503 0.2500
Zn: 0.2070 0.9567 0.2500
Zn: 0.2503 0.2070 0.7500
Zn: 0.3333 0.6667 0.2500
Zn: 0.6667 0.3333 0.7500
Zn: 0.7497 0.7930 0.2500
Zn: 0.7930 0.0433 0.7500
Zn: 0.9567 0.7497 0.7500
Ni: 0.0978 0.4739 0.7500
Ni: 0.3761 0.9022 0.7500
Ni: 0.4739 0.3761 0.2500
Ni: 0.5261 0.6239 0.7500
Ni: 0.6239 0.0978 0.2500
Ni: 0.9022 0.5261 0.2500



# ReNiHgB

A relaxed structure of ReNiHgB (PBE-GGA, OQMD via LeMat-Bulk).

For the calculated density, the calculation gives 14.6 g cm⁻³. The crystal system is cubic. The energy above the lowest structure with this stoichiometry comes out at 0.0 meV/atom. The calculation puts the total magnetization at 0.04 μB/atom.

Unit cell a=4.1850 b=4.1850 c=4.1850 alpha=60.00 beta=60.00 gamma=60.00
Fractional coordinates of all 4 atoms:
Re: 0.0000 0.0000 0.0000
Ni: 0.7500 0.7500 0.7500
Hg: 0.5000 0.5000 0.5000
B: 0.2500 0.2500 0.2500



# Y2FeB4Ir4

A relaxed structure of Y2FeB4Ir4 (PBE-GGA, OQMD via LeMat-Bulk).

For the calculated density, the calculation gives 11.8 g cm⁻³. The crystal system is orthorhombic. The calculation puts the total magnetization at 0.00 μB/atom. The total energy comes out at -90.8 eV/cell.

Unit cell a=7.3924 b=6.3097 c=5.4556 alpha=77.48 beta=56.43 gamma=46.09
Fractional coordinates of all 11 atoms:
Y: 0.1378 0.1378 0.8622
Y: 0.8622 0.8622 0.1378
Fe: 0.5000 0.5000 0.5000
B: 0.2227 0.5163 0.4837
B: 0.4837 0.7773 0.2227
B: 0.5163 0.2227 0.7773
B: 0.7773 0.4837 0.5163
Ir: 0.0000 0.0000 0.5000
Ir: 0.2500 0.2500 0.2500
Ir: 0.5000 0.5000 0.0000
Ir: 0.7500 0.7500 0.7500